A plane-wave DFT calculation with GGA-PBE was carried out for an optimized crystal structure of LaTlH.

Structure (CIF):
```
data_LaTlH
_cell_length_a 3.3732
_cell_length_b 3.3732
_cell_length_c 12.1421
_cell_angle_alpha 90.00
_cell_angle_beta 90.00
_cell_angle_gamma 90.00
_space_group_name_H-M_alt 'I 4 m m'
_space_group_IT_number 107
_space_group_name_Hall 'I 4 -2'
loop_
_atom_site_label
_atom_site_type_symbol
_atom_site_fract_x
_atom_site_fract_y
_atom_site_fract_z
La1 La 0.0000 0.0000 0.0000
Tl1 Tl 0.0000 0.0000 0.2744
H1 H 0.0000 0.0000 0.5342
```

Properties
Calculated density, g/cm³: 8.276
Fermi-level density of states, states/eV/cell: 4.07
Total DFT energy (no corrections), eV per cell: -22.579
Relative energy among the computed polymorphs, meV per atom: 293